1.
Ac6TeAs3Se2 | GGA-PBE | relaxed

Calculated volume: 33.5 Å³/atom
Formation energy (no corrections): -1.67 eV/atom

Unit cell a=4.5456 b=9.1403 c=10.2119 alpha=103.38 beta=102.86 gamma=90.00
Atoms (fractional coordinates):
Ac 0.3271 0.9203 0.6541
Ac 0.6646 0.5886 0.3291
Ac 0.6729 0.0797 0.3459
Ac 0.9985 0.2663 0.9969
Ac 0.0015 0.7337 0.0031
Ac 0.3354 0.4114 0.6709
Te 0.5000 0.0000 0.0000
As 0.5000 0.5000 0.0000
As 0.8346 0.1680 0.6693
As 0.1654 0.8320 0.3307
Se 0.8323 0.6659 0.6647
Se 0.1677 0.3341 0.3353


2.
CsRbAs | GGA-PBE | relaxed

Energy of formation: -105 meV per atom
E above lowest polymorph: 203 meV per atom
Calculated volume: 39.5 Å³/atom

Unit cell a=3.8942 b=5.9311 c=5.9311 alpha=120.00 beta=90.00 gamma=90.00
Each line ends with the local moment (μB).
Atoms (fractional coordinates):
Cs 0.6382 0.6667 0.3333  0.00
As 0.0382 0.0000 0.0000  0.06
Rb 0.3236 0.3333 0.6667  0.00


Electronic total energy (computed, eV for the cell shown): -68.72, -6.79
Total magnetization (computed, μB/cell): 0.00, 0.16
Fermi-level density of states (computed, states/eV per atom): 0.400, 1.587